Compound: NpSb2Pd6
Source: the Alexandria database
Functional: PBE
Structure: optimized geometry

Cell and atoms, written as POSCAR:
```
NpSb2Pd6
1.0
4.6027 0.0000 0.0000
-2.3013 3.9860 0.0000
0.0000 0.0000 9.0827
Np Sb Pd
1 2 6
Direct
0.0000 0.0000 0.0000
0.3333 0.6667 0.2364
0.6667 0.3333 0.7636
0.0000 0.0000 0.3376
0.0000 0.0000 0.6624
0.3333 0.6667 0.5222
0.3333 0.6667 0.8307
0.6667 0.3333 0.1693
0.6667 0.3333 0.4778
```

Output
Mass density: 11.2 g/cm3
Energy: -0.452 Ry per atom
Energy relative to the elements, uncorrected: -0.329 eV per atom